(1)
Here is a geometry-optimized TaCrSiOs structure from Alexandria. Energies are from PBE. Values from VASP.

```
&SYSTEM
  ibrav = 0, nat = 16, ntyp = 4
/
ATOMIC_SPECIES
Ta 180.95 Ta.upf
Cr 52.00 Cr.upf
Si 28.09 Si.upf
Os 190.23 Os.upf
CELL_PARAMETERS angstrom
6.080 0.000 0.000
0.000 6.080 0.000
0.000 0.000 6.080
ATOMIC_POSITIONS crystal
Ta 0.000 0.000 0.000
Ta 0.000 0.500 0.500
Ta 0.500 0.000 0.500
Ta 0.500 0.500 0.000
Cr 0.250 0.250 0.750
Cr 0.250 0.750 0.250
Cr 0.750 0.250 0.250
Cr 0.750 0.750 0.750
Si 0.000 0.000 0.500
Si 0.000 0.500 0.000
Si 0.500 0.000 0.000
Si 0.500 0.500 0.500
Os 0.250 0.250 0.250
Os 0.250 0.750 0.750
Os 0.750 0.250 0.750
Os 0.750 0.750 0.250
```

Formation energy from raw total energies in meV per atom: -262
DOS(E_F) in states/eV/f.u.: 2.91
Total moment in μB per formula unit: 0.258


(2)
Here is a geometry-optimized CrSiTeOs2 structure from Alexandria. Energies are from PBE. Values from VASP.

```
&SYSTEM
  ibrav = 0, nat = 5, ntyp = 4
/
ATOMIC_SPECIES
Cr 52.00 Cr.upf
Si 28.09 Si.upf
Te 127.60 Te.upf
Os 190.23 Os.upf
CELL_PARAMETERS angstrom
4.578 0.000 0.000
0.000 4.578 0.000
0.000 0.000 4.357
ATOMIC_POSITIONS crystal
Cr 0.000 0.000 0.000
Si 0.000 0.000 0.500
Te 0.500 0.500 0.500
Os 0.000 0.500 0.000
Os 0.500 0.000 0.000
```

Formation energy from raw total energies in meV per atom: 1258
DOS(E_F) in states/eV/f.u.: 4.79
Total moment in μB per formula unit: 0.000


(3)
Here is a geometry-optimized CrSiOsW structure from Alexandria. Energies are from PBE. Values from VASP.

```
&SYSTEM
  ibrav = 0, nat = 16, ntyp = 4
/
ATOMIC_SPECIES
Cr 52.00 Cr.upf
Si 28.09 Si.upf
Os 190.23 Os.upf
W 183.84 W.upf
CELL_PARAMETERS angstrom
6.014 0.000 0.000
0.000 6.014 0.000
0.000 0.000 6.014
ATOMIC_POSITIONS crystal
Cr 0.000 0.000 0.000
Cr 0.000 0.500 0.500
Cr 0.500 0.000 0.500
Cr 0.500 0.500 0.000
Si 0.250 0.250 0.750
Si 0.250 0.750 0.250
Si 0.750 0.250 0.250
Si 0.750 0.750 0.750
Os 0.000 0.000 0.500
Os 0.000 0.500 0.000
Os 0.500 0.000 0.000
Os 0.500 0.500 0.500
W 0.250 0.250 0.250
W 0.250 0.750 0.750
W 0.750 0.250 0.750
W 0.750 0.750 0.250
```

Formation energy from raw total energies in meV per atom: -52
DOS(E_F) in states/eV/f.u.: 3.70
Total moment in μB per formula unit: 0.001


(4)
Here is a geometry-optimized SmCrOs structure from Alexandria. Energies are from PBE. Values from VASP.

```
&SYSTEM
  ibrav = 0, nat = 12, ntyp = 3
/
ATOMIC_SPECIES
Sm 150.36 Sm.upf
Cr 52.00 Cr.upf
Os 190.23 Os.upf
CELL_PARAMETERS angstrom
0.000 5.225 9.903
2.379 0.000 9.903
2.379 5.225 0.000
ATOMIC_POSITIONS crystal
Sm 0.022 0.728 0.022
Sm 0.272 0.978 0.272
Sm 0.728 0.022 0.728
Sm 0.978 0.272 0.978
Cr 0.281 0.281 0.469
Cr 0.469 0.469 0.281
Cr 0.531 0.531 0.719
Cr 0.719 0.719 0.531
Os 0.003 0.003 0.747
Os 0.253 0.253 0.997
Os 0.747 0.747 0.003
Os 0.997 0.997 0.253
```

DOS(E_F) in states/eV/f.u.: 3.24
Total moment in μB per formula unit: 2.609
E_form in eV/atom: 0.4256